Below is a relaxed structure of Mg14Ge5O24, with properties calculated at the GGA-PBE level.

Space group: Pbam, No. 55
Formation energy without anion corrections in eV per formula unit: -103.603
Calculated total energy in Ry per atom: -0.4581

Lattice parameters (Å, degrees): 6.014 10.353 14.688 90.00 90.00 90.00
Positions (direct):
O: 0.224 0.922 0.924
Mg: 0.500 0.000 0.000
O: 0.500 0.830 0.432
O: 0.248 0.082 0.414
O: 0.224 0.578 0.424
Mg: 0.500 0.147 0.326
O: 0.500 0.332 0.415
Mg: 0.246 0.419 0.332
Mg: 0.000 0.821 0.824
Mg: 0.246 0.919 0.168
O: 0.000 0.837 0.416
O: 0.000 0.004 0.252
Ge: 0.500 0.326 0.186
Ge: 0.000 0.000 0.000
Mg: 0.754 0.581 0.668
Ge: 0.000 0.002 0.374
Mg: 0.754 0.081 0.832
Ge: 0.000 0.998 0.626
O: 0.248 0.918 0.586
Mg: 0.500 0.353 0.826
Mg: 0.242 0.749 0.004
O: 0.000 0.996 0.748
O: 0.728 0.248 0.744
O: 0.000 0.496 0.752
O: 0.272 0.748 0.756
O: 0.224 0.078 0.076
O: 0.000 0.152 0.921
Ge: 0.000 0.502 0.126
Mg: 0.000 0.179 0.176
O: 0.728 0.752 0.256
Ge: 0.500 0.674 0.814
Ge: 0.500 0.174 0.686
O: 0.728 0.252 0.244
O: 0.272 0.752 0.256
O: 0.752 0.918 0.586
O: 0.728 0.748 0.756
Mg: 0.242 0.751 0.504
Mg: 0.500 0.500 0.500
O: 0.248 0.418 0.914
O: 0.500 0.978 0.256
O: 0.500 0.330 0.068
Mg: 0.246 0.581 0.668
O: 0.500 0.670 0.932
Ge: 0.500 0.826 0.314
O: 0.752 0.082 0.414
O: 0.776 0.578 0.424
Mg: 0.246 0.081 0.832
O: 0.272 0.248 0.744
Ge: 0.000 0.500 0.500
O: 0.000 0.652 0.579
Mg: 0.500 0.647 0.174
O: 0.776 0.078 0.076
Mg: 0.758 0.249 0.496
O: 0.248 0.582 0.086
O: 0.776 0.422 0.576
O: 0.000 0.163 0.584
O: 0.752 0.582 0.086
O: 0.000 0.348 0.421
Mg: 0.758 0.751 0.504
O: 0.272 0.252 0.244
Mg: 0.754 0.419 0.332
O: 0.000 0.337 0.084
O: 0.500 0.022 0.744
O: 0.776 0.922 0.924
Mg: 0.242 0.251 0.996
Mg: 0.000 0.321 0.676
O: 0.000 0.663 0.916
Mg: 0.500 0.853 0.674
O: 0.752 0.418 0.914
O: 0.500 0.170 0.568
O: 0.500 0.668 0.585
O: 0.500 0.168 0.915
O: 0.000 0.504 0.248
Ge: 0.000 0.498 0.874
O: 0.000 0.848 0.079
O: 0.500 0.522 0.756
Mg: 0.754 0.919 0.168
O: 0.224 0.422 0.576
Mg: 0.500 0.000 0.500
Mg: 0.758 0.251 0.996
Mg: 0.758 0.749 0.004
O: 0.500 0.478 0.244
O: 0.500 0.832 0.085
Mg: 0.500 0.500 0.000
Mg: 0.242 0.249 0.496
Mg: 0.000 0.679 0.324



Below is a relaxed structure of Mg2Ge3O8, with properties calculated at the GGA-PBE level.

Space group: C2/m, No. 12
Formation energy without anion corrections in eV per formula unit: -25.894
Calculated total energy in Ry per atom: -0.4670

Lattice parameters (Å, degrees): 4.954 5.791 5.791 59.78 78.99 78.99
Positions (direct):
Mg: 0.395 0.712 0.712
Ge: 0.000 0.740 0.260
O: 0.630 0.340 0.888
O: 0.901 0.395 0.395
O: 0.370 0.660 0.112
O: 0.370 0.112 0.660
O: 0.873 0.900 0.900
Mg: 0.605 0.288 0.288
Ge: 0.000 0.260 0.740
O: 0.099 0.605 0.605
O: 0.127 0.100 0.100
Ge: 0.500 0.000 0.000
O: 0.630 0.888 0.340



Below is a relaxed structure of Mg2GeO4, with properties calculated at the GGA-PBE level.

Space group: Fd-3m, No. 227
Relative energy among the computed polymorphs in meV per atom: 1
Formation energy without anion corrections in eV per formula unit: -16.322
Calculated total energy in Ry per atom: -0.4616

Lattice parameters (Å, degrees): 5.902 5.902 5.902 60.00 60.00 60.00
Positions (direct):
O: 0.875 0.375 0.375
Mg: 0.625 0.125 0.625
O: 0.875 0.875 0.375
Ge: 0.000 0.000 0.000
Ge: 0.250 0.250 0.250
Mg: 0.625 0.625 0.625
Mg: 0.125 0.625 0.625
Mg: 0.625 0.625 0.125
O: 0.875 0.375 0.875
O: 0.375 0.875 0.375
O: 0.875 0.875 0.875
O: 0.375 0.375 0.875
O: 0.375 0.375 0.375
O: 0.375 0.875 0.875



Below is a relaxed structure of MgGeO2, with properties calculated at the GGA-PBE level.

Space group: Fm-3m, No. 225
Relative energy among the computed polymorphs in meV per atom: 674
Formation energy without anion corrections in eV per formula unit: -4.095
Calculated total energy in Ry per atom: -0.3716

Lattice parameters (Å, degrees): 3.993 3.993 3.993 60.00 60.00 60.00
Positions (direct):
Mg: 0.000 0.000 0.000
O: 0.750 0.750 0.750
O: 0.250 0.250 0.250
Ge: 0.500 0.500 0.500